# 1
DyEr2Tm4Cu2Te2 (PBE-GGA, relaxed); space group = Imm2 (44); total DFT energy (no corrections) = -4.69 eV/atom; theoretical density = 9.0 g/cm³
1.0
-1.632 -0.347 9.078
4.097 7.542 -3.396
-7.150 -5.456 2.079
Cu Tm Dy Te Er
2 4 1 2 2
Cartesian
-3.210 1.346 3.722
-0.220 4.053 6.929
-0.495 1.141 2.953
-2.995 -0.392 0.471
-2.101 0.930 6.341
-5.355 -2.802 2.122
1.672 4.881 3.855
0.044 0.129 0.102
-0.508 4.014 1.687
-2.616 -1.404 3.838
-5.878 -3.560 7.982

***

# 2
Dy4ErTm2Cu2Te2 (PBE-GGA, relaxed); space group = Imm2 (44); total DFT energy (no corrections) = -4.72 eV/atom; theoretical density = 8.8 g/cm³
1.0
1.037 -5.209 7.627
2.169 9.023 0.521
-5.687 -7.351 0.081
Dy Cu Tm Er Te
4 2 2 1 2
Cartesian
-0.322 -2.887 6.137
-2.696 -1.289 0.726
-4.239 -4.719 1.237
0.246 -0.616 3.149
1.311 -0.101 7.945
-2.179 -1.518 4.384
-1.275 -3.731 2.912
-2.994 -8.377 5.763
2.177 2.589 5.532
-0.421 2.428 3.702
0.051 0.060 0.128

***

# 3
Dy2Er3TmCuTe2 (PBE-GGA, relaxed); space group = Amm2 (38); total DFT energy (no corrections) = -4.78 eV/atom; theoretical density = 9.2 g/cm³
1.0
-0.922 -1.962 3.269
7.549 -3.594 -0.027
-1.181 7.240 4.011
Te Er Cu Tm Dy
2 3 1 1 2
Cartesian
1.272 2.642 4.297
4.173 -0.958 2.955
4.356 1.777 4.648
-0.742 0.778 2.611
1.375 -1.849 1.631
0.011 0.006 0.007
2.554 1.462 1.598
4.505 -2.145 -0.016
-0.705 4.321 2.394

***

# 4
Dy2ErTm3CuTe2 (PBE-GGA, relaxed); space group = Amm2 (38); total DFT energy (no corrections) = -4.77 eV/atom; theoretical density = 9.3 g/cm³
1.0
-3.438 1.669 -0.851
-3.050 -2.541 7.334
3.754 7.421 -0.613
Tm Te Cu Dy Er
3 2 1 2 1
Cartesian
-1.185 4.533 4.668
-2.455 0.222 1.348
-0.812 2.629 -0.572
-2.499 1.616 4.257
-0.234 4.932 1.611
0.000 0.003 0.005
-1.823 -1.519 4.384
2.244 4.436 -0.367
0.283 1.959 2.698

***

- Which of these has the lowest theoretical density?
  Dy4ErTm2Cu2Te2

***

- What is the total DFT energy (no corrections) in the fourth record?
  -4.77 eV/atom